Record 1
Computed, not measured: an optimized crystal structure of DyLu2Ag4Ge4 at the PBE level of DFT.

Summary:
- Magnetic moment: 0.00 μB/f.u.
- Space-group type: No. 71
- DFT total energy: -0.3258 Ry/atom

a b c (Å): 8.3185 8.3185 8.3185
angles (deg): 150.26 129.01 60.15
Fractional positions:
1 Dy 0.0000 0.0000 0.0000
2 Lu 0.3749 0.8749 0.5000
3 Lu 0.6251 0.1251 0.5000
4 Ag 0.0296 0.3307 0.6989
5 Ag 0.3683 0.6693 0.6989
6 Ag 0.6317 0.3307 0.3011
7 Ag 0.9704 0.6693 0.3011
8 Ge 0.2182 0.2182 0.0000
9 Ge 0.3179 0.5000 0.8179
10 Ge 0.6821 0.5000 0.1821
11 Ge 0.7818 0.7818 0.0000


Record 2
Computed, not measured: an optimized crystal structure of NdDy2Ag4Ge4 at the PBE level of DFT.

Summary:
- Magnetic moment: 0.02 μB/f.u.
- Space-group type: No. 71
- DFT total energy: -0.3328 Ry/atom

a b c (Å): 8.4275 8.4275 8.4275
angles (deg): 150.17 129.40 59.85
Fractional positions:
1 Nd 0.0000 0.0000 0.0000
2 Dy 0.3737 0.8737 0.5000
3 Dy 0.6263 0.1263 0.5000
4 Ag 0.0283 0.3310 0.6973
5 Ag 0.3663 0.6690 0.6973
6 Ag 0.6337 0.3310 0.3027
7 Ag 0.9717 0.6690 0.3027
8 Ge 0.2190 0.2190 0.0000
9 Ge 0.3203 0.5000 0.8203
10 Ge 0.6797 0.5000 0.1797
11 Ge 0.7810 0.7810 0.0000


Record 3
Computed, not measured: an optimized crystal structure of DyAgGeTeS2 at the PBE level of DFT.

Summary:
- Magnetic moment: 0.00 μB/f.u.
- Space-group type: No. 63
- DFT total energy: -0.3398 Ry/atom

a b c (Å): 6.9163 6.9163 11.1742
angles (deg): 90.00 90.00 146.77
Fractional positions:
1 Dy 0.0000 0.0000 0.0000
2 Dy 0.0000 0.0000 0.5000
3 Ag 0.4782 0.5218 0.7500
4 Ag 0.5218 0.4782 0.2500
5 Ge 0.2048 0.7952 0.2500
6 Ge 0.7952 0.2048 0.7500
7 Te 0.1293 0.8707 0.7500
8 Te 0.8707 0.1293 0.2500
9 S 0.3684 0.6316 0.5685
10 S 0.3684 0.6316 0.9315
11 S 0.6316 0.3684 0.0685
12 S 0.6316 0.3684 0.4315


Record 4
Computed, not measured: an optimized crystal structure of DyScAg2Ge2 at the PBE level of DFT.

Summary:
- Magnetic moment: 0.01 μB/f.u.
- Space-group type: No. 156
- DFT total energy: -0.3572 Ry/atom

a b c (Å): 4.4435 4.4435 7.0853
angles (deg): 90.00 90.00 120.00
Fractional positions:
1 Dy 0.0000 0.0000 0.0000
2 Sc 0.0000 0.0000 0.4992
3 Ag 0.3333 0.6667 0.6963
4 Ag 0.6667 0.3333 0.2243
5 Ge 0.3333 0.6667 0.3041
6 Ge 0.6667 0.3333 0.7893